Entry 1:
Ir5Ru4Rh after structural relaxation. Source: Alexandria via LeMat-Bulk, functional PBE.

Calculated values
V in Å³/f.u.: 142.5
DOS(E_F) in states/eV per atom: 1.24
Formation enthalpy at 0 K in eV per formula unit: -0.2

Cell: 2.723 2.723 19.225 Å, 90.00 90.00 90.00°
Fractional positions:
Ir1 0.000 0.000 0.000
Ir2 0.000 0.000 0.199
Ir3 0.000 0.000 0.398
Ir4 0.000 0.000 0.602
Ir5 0.000 0.000 0.801
Ru1 0.500 0.500 0.100
Ru2 0.500 0.500 0.301
Ru3 0.500 0.500 0.699
Ru4 0.500 0.500 0.900
Rh1 0.500 0.500 0.500

Entry 2:
Ir2RuRh after structural relaxation. Source: Alexandria via LeMat-Bulk, functional PBE.

Calculated values
V in Å³/f.u.: 57.1
DOS(E_F) in states/eV per atom: 0.96
Excess energy over the best structure of this formula in the dataset in meV/atom: 9.5
Formation enthalpy at 0 K in eV per formula unit: -0.1

Cell: 4.719 4.719 4.719 Å, 131.89 131.89 70.41°
Fractional positions:
Ir1 0.250 0.750 0.500
Ir2 0.750 0.250 0.500
Ru1 0.000 0.000 0.000
Rh1 0.500 0.500 0.000